Version P
DFT (PBE) results for KNa2H6 after structural relaxation.

a b c (Å): 7.120 7.702 7.702
angles (deg): 94.66 62.45 62.45
Sites, in units of the cell vectors:
1 K 0.750 0.750 0.250
2 H 0.557 0.002 0.998
3 H 0.731 0.500 0.000
4 H 0.769 0.000 0.500
5 H 0.269 0.500 0.000
6 H 0.943 0.002 0.998
7 Na 0.500 0.631 0.869
8 H 0.231 0.000 0.500
9 H 0.443 0.502 0.498
10 H 0.557 0.498 0.502
11 H 0.057 0.998 0.002
12 H 0.943 0.498 0.502
13 Na 0.000 0.869 0.631
14 Na 0.500 0.369 0.131
15 H 0.057 0.502 0.498
16 K 0.250 0.250 0.750
17 Na 0.000 0.131 0.369
18 H 0.443 0.998 0.002

Values from the calculation:
space-group type	Cmmm (65)
DOS at the Fermi energy	2.0	states/eV per cell
magnetic moment	0.000	μB/cell


Version Q
DFT (PBE) results for KNa2H6 after structural relaxation.

a b c (Å): 5.474 5.474 5.474
angles (deg): 60.00 60.00 60.00
Sites, in units of the cell vectors:
1 H 0.375 0.625 0.625
2 Na 0.750 0.750 0.750
3 H 0.625 0.375 0.625
4 Na 0.250 0.250 0.250
5 H 0.625 0.375 0.375
6 K 0.000 0.000 0.000
7 H 0.375 0.625 0.375
8 H 0.375 0.375 0.625
9 H 0.625 0.625 0.375

Values from the calculation:
space-group type	Fm-3m (225)
DOS at the Fermi energy	3.0	states/eV per cell
magnetic moment	0.000	μB/cell


Stability check: which of them is most stable? version P.


Version P
DFT (PBE) results for K2NaH2 after structural relaxation.

a b c (Å): 8.420 8.420 3.386
angles (deg): 90.00 90.00 90.00
Sites, in units of the cell vectors:
1 H 0.146 0.646 0.500
2 H 0.854 0.354 0.500
3 H 0.646 0.854 0.500
4 K 0.360 0.860 0.000
5 K 0.860 0.640 0.000
6 Na 0.500 0.500 0.000
7 K 0.640 0.140 0.000
8 H 0.354 0.146 0.500
9 Na 0.000 0.000 0.000
10 K 0.140 0.360 0.000

Values from the calculation:
space-group type	P4/mbm (127)
DOS at the Fermi energy	1.7	states/eV per cell
magnetic moment	0.000	μB/cell


Version Q
DFT (PBE) results for K2NaH2 after structural relaxation.

a b c (Å): 4.990 4.990 7.433
angles (deg): 70.39 70.39 90.00
Sites, in units of the cell vectors:
1 H 0.250 0.750 0.500
2 Na 0.000 0.000 0.000
3 K 0.686 0.686 0.628
4 H 0.750 0.250 0.500
5 K 0.314 0.314 0.372

Values from the calculation:
space-group type	I4/mmm (139)
DOS at the Fermi energy	2.0	states/eV per cell
magnetic moment	0.000	μB/cell


Stability check: which of them is most stable? version Q.


Version P
DFT (PBE) results for KRb2NaH after structural relaxation.

a b c (Å): 5.927 5.927 7.096
angles (deg): 90.00 90.00 90.00
Sites, in units of the cell vectors:
1 Rb 0.000 0.500 0.000
2 K 0.500 0.500 0.500
3 Na 0.000 0.000 0.500
4 H 0.000 0.000 0.000
5 Rb 0.500 0.000 0.000

Values from the calculation:
space-group type	P4/mmm (123)
DOS at the Fermi energy	2.8	states/eV per cell
magnetic moment	0.515	μB/cell


Version Q
DFT (PBE) results for KRb2NaH after structural relaxation.

a b c (Å): 6.338 6.338 5.855
angles (deg): 90.00 90.00 90.00
Sites, in units of the cell vectors:
1 H 0.000 0.000 0.000
2 Na 0.500 0.500 0.500
3 K 0.000 0.000 0.500
4 Rb 0.500 0.000 0.000
5 Rb 0.000 0.500 0.000

Values from the calculation:
space-group type	P4/mmm (123)
DOS at the Fermi energy	3.6	states/eV per cell
magnetic moment	0.000	μB/cell


Stability check: which of them is most stable? version Q.


Version P
DFT (PBE) results for K2NaTlH after structural relaxation.

a b c (Å): 5.511 5.511 5.145
angles (deg): 90.00 90.00 90.00
Sites, in units of the cell vectors:
1 K 0.500 0.000 0.000
2 Na 0.000 0.000 0.500
3 Tl 0.500 0.500 0.500
4 K 0.000 0.500 0.000
5 H 0.000 0.000 0.000

Values from the calculation:
space-group type	P4/mmm (123)
DOS at the Fermi energy	1.6	states/eV per cell
magnetic moment	0.000	μB/cell


Version Q
DFT (PBE) results for K2NaTlH after structural relaxation.

a b c (Å): 5.531 5.531 5.412
angles (deg): 90.00 90.00 90.00
Sites, in units of the cell vectors:
1 Na 0.500 0.500 0.500
2 Tl 0.000 0.000 0.500
3 K 0.000 0.500 0.000
4 K 0.500 0.000 0.000
5 H 0.000 0.000 0.000

Values from the calculation:
space-group type	P4/mmm (123)
DOS at the Fermi energy	2.4	states/eV per cell
magnetic moment	0.009	μB/cell


Stability check: which of them is most stable? version P.


Version P
DFT (PBE) results for KNb3H after structural relaxation.

a b c (Å): 4.627 4.627 4.627
angles (deg): 90.00 90.00 90.00
Sites, in units of the cell vectors:
1 Nb 0.000 0.000 0.500
2 H 0.500 0.500 0.500
3 K 0.000 0.000 0.000
4 Nb 0.000 0.500 0.000
5 Nb 0.500 0.000 0.000

Values from the calculation:
space-group type	Pm-3m (221)
DOS at the Fermi energy	5.5	states/eV per cell
magnetic moment	0.000	μB/cell


Version Q
DFT (PBE) results for KNb3H after structural relaxation.

a b c (Å): 4.423 4.423 4.423
angles (deg): 90.00 90.00 90.00
Sites, in units of the cell vectors:
1 H 0.000 0.000 0.000
2 Nb 0.500 0.000 0.000
3 Nb 0.000 0.500 0.000
4 Nb 0.000 0.000 0.500
5 K 0.500 0.500 0.500

Values from the calculation:
space-group type	Pm-3m (221)
DOS at the Fermi energy	8.3	states/eV per cell
magnetic moment	0.000	μB/cell


Stability check: which of them is most stable? version Q.


Version P
DFT (PBE) results for K2NiH5 after structural relaxation.

a b c (Å): 5.733 5.733 5.622
angles (deg): 120.66 120.66 90.00
Last column: magnetic moment on the atom in μB.
Sites, in units of the cell vectors:
1 H 0.786 0.786 0.573  0.08
2 K 0.250 0.750 0.501  0.01
3 H 0.189 0.812 0.002  0.00
4 H 0.812 0.189 0.002  0.00
5 Ni 0.986 0.986 0.973  0.45
6 K 0.750 0.250 0.501  0.01
7 H 0.189 0.189 0.002  0.00
8 H 0.812 0.812 0.002  0.00

Values from the calculation:
space-group type	I4mm (107)
DOS at the Fermi energy	1.0	states/eV per cell
magnetic moment	1.005	μB/cell


Version Q
DFT (PBE) results for K2NiH5 after structural relaxation.

a b c (Å): 3.652 5.670 5.670
angles (deg): 90.00 90.00 90.00
Sites, in units of the cell vectors:
1 H 0.000 0.192 0.808
2 H 0.000 0.808 0.192
3 H 0.000 0.192 0.192
4 H 0.500 0.000 0.000
5 K 0.500 0.000 0.500
6 Ni 0.000 0.000 0.000
7 K 0.500 0.500 0.000
8 H 0.000 0.808 0.808

Values from the calculation:
space-group type	P4/mmm (123)
DOS at the Fermi energy	2.1	states/eV per cell
magnetic moment	0.000	μB/cell


Stability check: which of them is most stable? version Q.


Version P
DFT (PBE) results for K2NiH after structural relaxation.

a b c (Å): 5.438 5.438 5.438
angles (deg): 60.00 60.00 60.00
Last column: magnetic moment on the atom in μB.
Sites, in units of the cell vectors:
1 Ni 0.500 0.500 0.500  0.89
2 K 0.250 0.250 0.250  0.00
3 K 0.750 0.750 0.750  0.00
4 H 0.000 0.000 0.000  0.03

Values from the calculation:
space-group type	Fm-3m (225)
DOS at the Fermi energy	9.3	states/eV per cell
magnetic moment	0.981	μB/cell


Version Q
DFT (PBE) results for K2NiH after structural relaxation.

a b c (Å): 7.829 7.829 7.031
angles (deg): 56.17 56.17 90.00
Last column: magnetic moment on the atom in μB.
Sites, in units of the cell vectors:
1 H 0.250 0.750 0.500  0.00
2 Ni 0.000 0.000 0.000  -0.99
3 K 0.201 0.625 0.250  0.00
4 Ni 0.750 0.250 0.500  -0.98
5 K 0.549 0.125 0.250  0.00
6 K 0.375 0.451 0.750  0.00
7 K 0.875 0.799 0.750  0.00
8 H 0.500 0.500 0.000  0.00

Values from the calculation:
space-group type	I-42d (122)
DOS at the Fermi energy	22.2	states/eV per cell
magnetic moment	2.000	μB/cell


Stability check: which of them is most stable? version Q.


Version P
DFT (PBE) results for KH2O2 after structural relaxation.

a b c (Å): 2.914 2.914 5.450
angles (deg): 74.49 74.49 90.00
Last column: magnetic moment on the atom in μB.
Sites, in units of the cell vectors:
1 H 0.750 0.250 0.500  -0.02
2 O 0.321 0.321 0.358  0.44
3 O 0.679 0.679 0.642  0.44
4 K 0.000 0.000 0.000  0.00
5 H 0.250 0.750 0.500  -0.02

Values from the calculation:
space-group type	I4/mmm (139)
DOS at the Fermi energy	3.0	states/eV per cell
magnetic moment	1.000	μB/cell


Version Q
DFT (PBE) results for KH2O2 after structural relaxation.

a b c (Å): 5.254 5.447 5.151
angles (deg): 113.98 112.53 103.88
Sites, in units of the cell vectors:
1 O 0.599 0.599 0.697
2 H 0.793 0.683 0.500
3 O 0.981 0.794 0.500
4 H 0.076 0.076 0.651
5 K 0.721 0.221 0.943
6 O 0.019 0.206 0.500
7 H 0.924 0.924 0.349
8 H 0.207 0.317 0.500
9 K 0.279 0.779 0.057
10 O 0.401 0.401 0.303

Values from the calculation:
space-group type	C2/m (12)
DOS at the Fermi energy	0.0	states/eV per cell
magnetic moment	0.049	μB/cell


Version R
DFT (PBE) results for KH2O2 after structural relaxation.

a b c (Å): 6.685 6.685 2.529
angles (deg): 90.00 90.00 90.00
Last column: magnetic moment on the atom in μB.
Sites, in units of the cell vectors:
1 H 0.613 0.887 0.500  -0.01
2 H 0.387 0.113 0.500  -0.01
3 K 0.500 0.500 0.000  0.00
4 K 0.000 0.000 0.000  0.00
5 H 0.887 0.387 0.500  -0.01
6 O 0.619 0.881 0.000  0.41
7 H 0.113 0.613 0.500  -0.01
8 O 0.881 0.381 0.000  0.41
9 O 0.381 0.119 0.000  0.41
10 O 0.119 0.619 0.000  0.41

Values from the calculation:
space-group type	P4/mbm (127)
DOS at the Fermi energy	0.0	states/eV per cell
magnetic moment	2.000	μB/cell


Stability check: which of them is most stable? version Q.